(1)
First-principles (PBE with a Hubbard U) data for a geometry-optimized Tb2NpCoO8 structure, as listed in Alexandria via LeMat-Bulk.

Computed properties:
The space group is No. 10.

```
12
Lattice="-1.1573 -4.6592 -1.2255 3.4221 0.4171 -3.5572 4.8168 -2.3452 4.3607" Properties=species:S:1:pos:R:3 pbc="T T T"
Tb 4.6937 -3.8554 0.8342
Tb 2.3879 -2.7319 -1.2563
Np 0.0000 0.0000 0.0000
Co 2.4084 -1.1726 2.1804
O 3.6692 -1.0294 -2.1460
O 6.4156 -5.3191 0.9947
O 0.7624 -4.2662 -0.6747
O 3.4124 -5.5578 1.7239
O 0.6661 -1.2681 -1.4168
O 6.3193 -2.3211 0.2527
O 4.0658 -4.2676 -1.3137
O 3.0159 -2.3197 0.8916
```

=====

(2)
First-principles (PBE with a Hubbard U) data for a geometry-optimized NpCoTcO6 structure, as listed in Alexandria via LeMat-Bulk.

Computed properties:
The space group is No. 163.

```
18
Lattice="5.1241 0.0000 0.0000 -2.5621 4.4376 0.0000 0.0000 0.0000 9.1971" Properties=species:S:1:pos:R:3 pbc="T T T"
Np 2.5621 1.4792 2.2993
Np 0.0000 2.9584 6.8978
Co 0.0000 2.9584 2.2993
Co 2.5621 1.4792 6.8978
Tc 0.0000 0.0000 0.0000
Tc 0.0000 0.0000 4.5985
O 1.7390 3.0292 1.1324
O -0.8082 1.4170 1.1324
O 1.6312 0.0086 5.7309
O 3.3703 3.0207 8.0647
O 0.8082 1.4170 3.4661
O -1.7390 3.0292 3.4661
O 3.4929 0.0086 8.0647
O 0.9308 4.4290 3.4661
O 4.3011 1.4084 5.7309
O -0.9308 4.4290 1.1324
O 1.7538 3.0207 5.7309
O 0.8230 1.4084 8.0647
```

=====

| no. | raw total energy (eV per cell) | spin magnetization (μB/f.u.) |
| --- | --- | --- |
| 1 | -97.806 | 4.0 |
| 2 | -148.165 | 5.0 |